{"formula": "NdPa2Fe", "functional": "PBE-GGA", "state": "relaxed", "n_ef_per_ev_fu": 7.6, "sg": "R-3m, No. 166", "formation_enthalpy_0k_kj_per_mol_atoms": 6.1, "magnetic_moment_mub_per_fu": 0.00, "energy_ev_per_atom": -7.993, "cell": [[3.610, 0.000, 0.000], [-1.805, 3.127, 0.000], [0.000, 0.000, 26.646]], "species": ["Nd", "Nd", "Nd", "Pa", "Pa", "Pa", "Pa", "Pa", "Pa", "Fe", "Fe", "Fe"], "frac_coords": [[0.000, 0.000, 0.000], [0.333, 0.667, 0.667], [0.667, 0.333, 0.333], [0.000, 0.000, 0.225], [0.000, 0.000, 0.775], [0.333, 0.667, 0.442], [0.333, 0.667, 0.892], [0.667, 0.333, 0.108], [0.667, 0.333, 0.558], [0.000, 0.000, 0.500], [0.333, 0.667, 0.167], [0.667, 0.333, 0.833]]}



{"formula": "SiGe2Te4Au", "functional": "PBE-GGA", "state": "relaxed", "n_ef_per_ev_fu": 2.4, "sg": "Fmm2, No. 42", "raw_formation_energy_ev_per_fu": 0.1, "magnetic_moment_mub_per_fu": 0.00, "energy_ev_per_atom": -3.803, "cell": [[0.000, 5.938, 4.223], [4.114, 0.000, 4.223], [4.114, 5.938, 0.000]], "species": ["Si", "Ge", "Ge", "Te", "Te", "Te", "Te", "Au"], "frac_coords": [[0.000, 0.000, 0.000], [0.238, 0.238, 0.262], [0.738, 0.738, 0.762], [0.210, 0.726, 0.274], [0.463, 0.980, 0.537], [0.726, 0.210, 0.790], [0.980, 0.463, 0.020], [0.485, 0.485, 0.515]]}



{"formula": "PrThScTe3", "functional": "PBE-GGA", "state": "relaxed", "n_ef_per_ev_fu": 5.2, "sg": "P2_1/m, No. 11", "raw_formation_energy_ev_per_fu": -6.8, "magnetic_moment_mub_per_fu": 0.44, "energy_ev_per_atom": -5.789, "cell": [[9.210, 0.000, 0.000], [0.000, 4.240, 0.000], [-3.273, 0.000, 9.552]], "species": ["Pr", "Pr", "Th", "Th", "Sc", "Sc", "Te", "Te", "Te", "Te", "Te", "Te"], "frac_coords": [[0.168, 0.250, 0.243], [0.832, 0.750, 0.757], [0.356, 0.750, 0.860], [0.644, 0.250, 0.140], [0.096, 0.250, 0.608], [0.904, 0.750, 0.392], [0.103, 0.250, 0.895], [0.248, 0.750, 0.507], [0.411, 0.750, 0.193], [0.589, 0.250, 0.807], [0.752, 0.250, 0.493], [0.897, 0.750, 0.105]]}



{"formula": "CsIn3Mo", "functional": "PBE-GGA", "state": "relaxed", "n_ef_per_ev_fu": 2.8, "sg": "Pm-3m, No. 221", "formation_enthalpy_0k_kj_per_mol_atoms": 20.5, "magnetic_moment_mub_per_fu": 0.00, "energy_ev_per_atom": -3.767, "cell": [[5.446, 0.000, 0.000], [0.000, 5.446, 0.000], [0.000, 0.000, 5.446]], "species": ["Cs", "In", "In", "In", "Mo"], "frac_coords": [[0.000, 0.000, 0.000], [0.000, 0.500, 0.500], [0.500, 0.000, 0.500], [0.500, 0.500, 0.000], [0.500, 0.500, 0.500]]}



{"formula": "Ta2TlIr", "functional": "PBE-GGA", "state": "relaxed", "n_ef_per_ev_fu": 3.6, "sg": "I4/mmm, No. 139", "formation_enthalpy_0k_kj_per_mol_atoms": 18.4, "magnetic_moment_mub_per_fu": 0.00, "energy_ev_per_atom": -8.542, "cell": [[4.127, 0.000, 0.000], [0.000, 4.127, 0.000], [0.000, 0.000, 8.448]], "species": ["Ta", "Ta", "Ta", "Ta", "Tl", "Tl", "Ir", "Ir"], "frac_coords": [[0.000, 0.500, 0.250], [0.000, 0.500, 0.750], [0.500, 0.000, 0.250], [0.500, 0.000, 0.750], [0.000, 0.000, 0.000], [0.500, 0.500, 0.500], [0.000, 0.000, 0.500], [0.500, 0.500, 0.000]]}



{"formula": "Zr12TaBi6", "functional": "PBE-GGA", "state": "relaxed", "n_ef_per_ev_fu": 19.1, "sg": "R-3, No. 148", "formation_enthalpy_0k_kj_per_mol_atoms": -14.8, "magnetic_moment_mub_per_fu": 0.00, "energy_ev_per_atom": -7.401, "cell": [[7.006, 4.045, 2.686], [-7.006, 4.045, 2.686], [0.000, -8.090, 2.686]], "species": ["Zr", "Zr", "Zr", "Zr", "Zr", "Zr", "Zr", "Zr", "Zr", "Zr", "Zr", "Zr", "Ta", "Bi", "Bi", "Bi", "Bi", "Bi", "Bi"], "frac_coords": [[0.050, 0.188, 0.306], [0.188, 0.306, 0.050], [0.240, 0.665, 0.596], [0.306, 0.050, 0.188], [0.335, 0.404, 0.760], [0.404, 0.760, 0.335], [0.596, 0.240, 0.665], [0.665, 0.596, 0.240], [0.694, 0.950, 0.812], [0.760, 0.335, 0.404], [0.812, 0.694, 0.950], [0.950, 0.812, 0.694], [0.500, 0.500, 0.500], [0.095, 0.586, 0.870], [0.130, 0.905, 0.414], [0.414, 0.130, 0.905], [0.586, 0.870, 0.095], [0.870, 0.095, 0.586], [0.905, 0.414, 0.130]]}



{"formula": "Ce3Dy2HoAs6", "functional": "PBE-GGA", "state": "relaxed", "n_ef_per_ev_fu": 16.4, "sg": "C2/m, No. 12", "formation_enthalpy_0k_kj_per_mol_atoms": -142.8, "magnetic_moment_mub_per_fu": 1.93, "energy_ev_per_atom": -6.437, "cell": [[3.609, -6.250, 0.000], [3.609, 6.250, 0.000], [-2.407, 0.000, 6.789]], "species": ["Ce", "Ce", "Ce", "Dy", "Dy", "Ho", "As", "As", "As", "As", "As", "As"], "frac_coords": [[0.000, 0.000, 0.000], [0.333, 0.667, 0.000], [0.667, 0.333, 0.000], [0.167, 0.833, 0.500], [0.833, 0.167, 0.500], [0.500, 0.500, 0.500], [0.086, 0.418, 0.255], [0.249, 0.249, 0.745], [0.418, 0.086, 0.255], [0.582, 0.914, 0.745], [0.751, 0.751, 0.255], [0.914, 0.582, 0.745]]}



{"formula": "La3PbSe", "functional": "PBE-GGA", "state": "relaxed", "n_ef_per_ev_fu": 5.9, "sg": "Pm-3m, No. 221", "raw_formation_energy_ev_per_fu": -3.9, "magnetic_moment_mub_per_fu": 0.00, "energy_ev_per_atom": -5.181, "cell": [[5.657, 0.000, 0.000], [0.000, 5.657, 0.000], [0.000, 0.000, 5.657]], "species": ["La", "La", "La", "Pb", "Se"], "frac_coords": [[0.000, 0.000, 0.500], [0.000, 0.500, 0.000], [0.500, 0.000, 0.000], [0.500, 0.500, 0.500], [0.000, 0.000, 0.000]]}